Computed, not measured: a relaxed structure of As2OsPb at the PBE-GGA level of DFT.

Properties
Density of states at the Fermi level (states/eV per cell): 1.54
ΔH_f (0 K) (meV per atom): 191.5
DFT total energy (eV per atom): -5.87
Space group: P4/mmm (123)

abc: 3.0587 3.0587 8.9085
angles: 90.00 90.00 90.00
Positions (direct):
As 0.0000 0.0000 0.1755
As 0.0000 0.0000 0.8245
Os 0.5000 0.5000 0.0000
Pb 0.5000 0.5000 0.5000